Below is a relaxed LaGd2Ni9 crystal, with properties calculated at the PBE level.

Summary:
The formation energy is -0.374 eV/atom. The value obtained for the total energy is -0.4216 Ry/atom. For the volume, the calculation gives 175.3 Å³/cell.

abc: 8.627 8.627 8.627
angles: 33.62 33.62 33.62
Fractional coordinates of all 12 atoms:
La  0.000  0.000  0.000
Gd  0.140  0.140  0.140
Gd  0.860  0.860  0.860
Ni  0.082  0.584  0.584
Ni  0.333  0.333  0.333
Ni  0.416  0.416  0.918
Ni  0.416  0.918  0.416
Ni  0.500  0.500  0.500
Ni  0.584  0.082  0.584
Ni  0.584  0.584  0.082
Ni  0.667  0.667  0.667
Ni  0.918  0.416  0.416

***

Below is a relaxed SmFeSi crystal, with properties calculated at the PBE level.

Summary:
The value obtained for the total energy is -0.4960 Ry/atom. For the volume, the calculation gives 110.8 Å³/cell.

abc: 4.042 4.042 6.783
angles: 90.00 90.00 90.00
Fractional coordinates of all 6 atoms:
Sm  0.250  0.250  0.185
Sm  0.750  0.750  0.815
Fe  0.250  0.750  0.500
Fe  0.750  0.250  0.500
Si  0.250  0.250  0.669
Si  0.750  0.750  0.331